# Nb2SbSe2 | the Alexandria database | GGA-PBE | optimized geometry
# **Uncorrected formation energy**: -0.09 eV/atom
# **E**: -6.3387 eV per atom
# **Relative energy among the computed polymorphs**: 110 meV/atom
# **V**: 19.3 Å³ per atom
# **Magnetic moment**: 0.00 Bohr magnetons per cell
data_Nb2SbSe2
_symmetry_space_group_name_H-M 'P 1'
_symmetry_Int_Tables_number 1
_symmetry_space_group_name_Hall 'P 1'
_cell_length_a 7.851
_cell_length_b 7.851
_cell_length_c 3.133
_cell_angle_alpha 90.00
_cell_angle_beta 90.00
_cell_angle_gamma 90.00
loop_
_atom_site_label
_atom_site_type_symbol
_atom_site_fract_x
_atom_site_fract_y
_atom_site_fract_z
_atom_site_occupancy
Nb1 Nb 0.335 0.165 0.500 1
Se1 Se 0.870 0.630 0.000 1
Nb2 Nb 0.665 0.835 0.500 1
Se2 Se 0.370 0.870 0.000 1
Nb3 Nb 0.835 0.335 0.500 1
Se3 Se 0.630 0.130 0.000 1
Nb4 Nb 0.165 0.665 0.500 1
Sb1 Sb 0.500 0.500 0.000 1
Sb2 Sb 0.000 0.000 0.000 1
Se4 Se 0.130 0.370 0.000 1



# NbSn2SbSe | the Alexandria database | GGA-PBE | optimized geometry
# **Uncorrected formation energy**: 1.33 eV/atom
# **E**: -3.8065 eV per atom
# **V**: 31.8 Å³ per atom
# **Magnetic moment**: 0.03 Bohr magnetons per cell
data_NbSn2SbSe
_symmetry_space_group_name_H-M 'P 1'
_symmetry_Int_Tables_number 1
_symmetry_space_group_name_Hall 'P 1'
_cell_length_a 5.551
_cell_length_b 5.160
_cell_length_c 5.551
_cell_angle_alpha 90.00
_cell_angle_beta 90.00
_cell_angle_gamma 90.00
loop_
_atom_site_label
_atom_site_type_symbol
_atom_site_fract_x
_atom_site_fract_y
_atom_site_fract_z
_atom_site_occupancy
Sn1 Sn 0.000 0.000 0.500 1
Nb1 Nb 0.500 0.500 0.500 1
Sb1 Sb 0.000 0.000 0.000 1
Se1 Se 0.000 0.500 0.000 1
Sn2 Sn 0.500 0.000 0.000 1



# NbSb2TeSe | the Alexandria database | GGA-PBE | optimized geometry
# **Uncorrected formation energy**: 1.01 eV/atom
# **E**: -3.9756 eV per atom
# **Relative energy among the computed polymorphs**: 645 meV/atom
# **V**: 29.9 Å³ per atom
# **Magnetic moment**: 2.52 Bohr magnetons per cell
data_NbSb2TeSe
_symmetry_space_group_name_H-M 'P 1'
_symmetry_Int_Tables_number 1
_symmetry_space_group_name_Hall 'P 1'
_cell_length_a 5.310
_cell_length_b 5.310
_cell_length_c 5.304
_cell_angle_alpha 90.00
_cell_angle_beta 90.00
_cell_angle_gamma 90.00
loop_
_atom_site_label
_atom_site_type_symbol
_atom_site_fract_x
_atom_site_fract_y
_atom_site_fract_z
_atom_site_occupancy
Te1 Te 0.000 0.000 0.500 1
Sb1 Sb 0.000 0.500 0.000 1
Se1 Se 0.000 0.000 0.000 1
Nb1 Nb 0.500 0.500 0.500 1
Sb2 Sb 0.500 0.000 0.000 1



# NbSb2TeSe | the Alexandria database | GGA-PBE | optimized geometry
# **Uncorrected formation energy**: 0.37 eV/atom
# **E**: -4.6202 eV per atom
# **Relative energy among the computed polymorphs**: 0 meV/atom
# **V**: 30.2 Å³ per atom
# **Magnetic moment**: 0.00 Bohr magnetons per cell
data_NbSb2TeSe
_symmetry_space_group_name_H-M 'P 1'
_symmetry_Int_Tables_number 1
_symmetry_space_group_name_Hall 'P 1'
_cell_length_a 5.370
_cell_length_b 5.370
_cell_length_c 5.232
_cell_angle_alpha 90.00
_cell_angle_beta 90.00
_cell_angle_gamma 90.00
loop_
_atom_site_label
_atom_site_type_symbol
_atom_site_fract_x
_atom_site_fract_y
_atom_site_fract_z
_atom_site_occupancy
Se1 Se 0.500 0.500 0.500 1
Nb1 Nb 0.000 0.000 0.000 1
Sb1 Sb 0.000 0.500 0.000 1
Te1 Te 0.000 0.000 0.500 1
Sb2 Sb 0.500 0.000 0.000 1



# TiNbSb2Se | the Alexandria database | GGA-PBE | optimized geometry
# **Uncorrected formation energy**: 0.86 eV/atom
# **E**: -5.0828 eV per atom
# **Relative energy among the computed polymorphs**: 193 meV/atom
# **V**: 25.5 Å³ per atom
# **Magnetic moment**: 0.00 Bohr magnetons per cell
data_TiNbSb2Se
_symmetry_space_group_name_H-M 'P 1'
_symmetry_Int_Tables_number 1
_symmetry_space_group_name_Hall 'P 1'
_cell_length_a 5.314
_cell_length_b 4.510
_cell_length_c 5.314
_cell_angle_alpha 90.00
_cell_angle_beta 90.00
_cell_angle_gamma 90.00
loop_
_atom_site_label
_atom_site_type_symbol
_atom_site_fract_x
_atom_site_fract_y
_atom_site_fract_z
_atom_site_occupancy
Sb1 Sb 0.500 0.000 0.000 1
Sb2 Sb 0.000 0.000 0.500 1
Nb1 Nb 0.500 0.500 0.500 1
Ti1 Ti 0.000 0.500 0.000 1
Se1 Se 0.000 0.000 0.000 1



# TiNbSb2Se | the Alexandria database | GGA-PBE | optimized geometry
# **Uncorrected formation energy**: 0.66 eV/atom
# **E**: -5.2762 eV per atom
# **Relative energy among the computed polymorphs**: 0 meV/atom
# **V**: 25.5 Å³ per atom
# **Magnetic moment**: 0.00 Bohr magnetons per cell
data_TiNbSb2Se
_symmetry_space_group_name_H-M 'P 1'
_symmetry_Int_Tables_number 1
_symmetry_space_group_name_Hall 'P 1'
_cell_length_a 5.161
_cell_length_b 4.796
_cell_length_c 5.161
_cell_angle_alpha 90.00
_cell_angle_beta 90.00
_cell_angle_gamma 90.00
loop_
_atom_site_label
_atom_site_type_symbol
_atom_site_fract_x
_atom_site_fract_y
_atom_site_fract_z
_atom_site_occupancy
Se1 Se 0.500 0.500 0.500 1
Sb1 Sb 0.000 0.000 0.500 1
Nb1 Nb 0.000 0.500 0.000 1
Sb2 Sb 0.500 0.000 0.000 1
Ti1 Ti 0.000 0.000 0.000 1



# Nb2TlSbSe | the Alexandria database | GGA-PBE | optimized geometry
# **Uncorrected formation energy**: 0.80 eV/atom
# **E**: -5.2251 eV per atom
# **V**: 26.5 Å³ per atom
# **Magnetic moment**: 0.51 Bohr magnetons per cell
data_Nb2TlSbSe
_symmetry_space_group_name_H-M 'P 1'
_symmetry_Int_Tables_number 1
_symmetry_space_group_name_Hall 'P 1'
_cell_length_a 4.844
_cell_length_b 5.646
_cell_length_c 4.844
_cell_angle_alpha 90.00
_cell_angle_beta 90.00
_cell_angle_gamma 90.00
loop_
_atom_site_label
_atom_site_type_symbol
_atom_site_fract_x
_atom_site_fract_y
_atom_site_fract_z
_atom_site_occupancy
Sb1 Sb 0.500 0.500 0.500 1
Nb1 Nb 0.000 0.000 0.500 1
Nb2 Nb 0.500 0.000 0.000 1
Tl1 Tl 0.000 0.500 0.000 1
Se1 Se 0.000 0.000 0.000 1



# NbZnSbSe2 | the Alexandria database | GGA-PBE | optimized geometry
# **Uncorrected formation energy**: 0.83 eV/atom
# **E**: -3.6532 eV per atom
# **V**: 23.6 Å³ per atom
# **Magnetic moment**: 0.02 Bohr magnetons per cell
data_NbZnSbSe2
_symmetry_space_group_name_H-M 'P 1'
_symmetry_Int_Tables_number 1
_symmetry_space_group_name_Hall 'P 1'
_cell_length_a 4.788
_cell_length_b 5.143
_cell_length_c 4.788
_cell_angle_alpha 90.00
_cell_angle_beta 90.00
_cell_angle_gamma 90.00
loop_
_atom_site_label
_atom_site_type_symbol
_atom_site_fract_x
_atom_site_fract_y
_atom_site_fract_z
_atom_site_occupancy
Zn1 Zn 0.000 0.000 0.000 1
Se1 Se 0.500 0.000 0.000 1
Sb1 Sb 0.000 0.500 0.000 1
Se2 Se 0.000 0.000 0.500 1
Nb1 Nb 0.500 0.500 0.500 1



What did the sixth record say?
# TiNbSb2Se | the Alexandria database | GGA-PBE | optimized geometry
# **Uncorrected formation energy**: 0.66 eV/atom
# **E**: -5.2762 eV per atom
# **Relative energy among the computed polymorphs**: 0 meV/atom
# **V**: 25.5 Å³ per atom
# **Magnetic moment**: 0.00 Bohr magnetons per cell
data_TiNbSb2Se
_symmetry_space_group_name_H-M 'P 1'
_symmetry_Int_Tables_number 1
_symmetry_space_group_name_Hall 'P 1'
_cell_length_a 5.161
_cell_length_b 4.796
_cell_length_c 5.161
_cell_angle_alpha 90.00
_cell_angle_beta 90.00
_cell_angle_gamma 90.00
loop_
_atom_site_label
_atom_site_type_symbol
_atom_site_fract_x
_atom_site_fract_y
_atom_site_fract_z
_atom_site_occupancy
Se1 Se 0.500 0.500 0.500 1
Sb1 Sb 0.000 0.000 0.500 1
Nb1 Nb 0.000 0.500 0.000 1
Sb2 Sb 0.500 0.000 0.000 1
Ti1 Ti 0.000 0.000 0.000 1



Copy entry 2 word for word.
# NbSn2SbSe | the Alexandria database | GGA-PBE | optimized geometry
# **Uncorrected formation energy**: 1.33 eV/atom
# **E**: -3.8065 eV per atom
# **V**: 31.8 Å³ per atom
# **Magnetic moment**: 0.03 Bohr magnetons per cell
data_NbSn2SbSe
_symmetry_space_group_name_H-M 'P 1'
_symmetry_Int_Tables_number 1
_symmetry_space_group_name_Hall 'P 1'
_cell_length_a 5.551
_cell_length_b 5.160
_cell_length_c 5.551
_cell_angle_alpha 90.00
_cell_angle_beta 90.00
_cell_angle_gamma 90.00
loop_
_atom_site_label
_atom_site_type_symbol
_atom_site_fract_x
_atom_site_fract_y
_atom_site_fract_z
_atom_site_occupancy
Sn1 Sn 0.000 0.000 0.500 1
Nb1 Nb 0.500 0.500 0.500 1
Sb1 Sb 0.000 0.000 0.000 1
Se1 Se 0.000 0.500 0.000 1
Sn2 Sn 0.500 0.000 0.000 1



> Which value of E does entry 1 give?

-6.3387 eV per atom